SbPd6Pt2 | PBE | optimized geometry

Values from the calculation:
* VASP energy: -48.56 eV for the cell shown
* formation energy (no corrections): -1.2 eV per formula unit
* V: 16.48 A^3/atom
* total moment: 0.0 μB per formula unit
* DOS(E_F): 10.0 states/eV/f.u.
* space group: Immm

a b c (Å): 6.098 6.098 6.098
angles (deg): 134.75 101.91 95.14
Sites, in units of the cell vectors:
1 Sb 0.000 0.000 0.000
2 Pd 0.151 0.831 0.320
3 Pd 0.184 0.500 0.684
4 Pd 0.489 0.169 0.320
5 Pd 0.511 0.831 0.680
6 Pd 0.816 0.500 0.316
7 Pd 0.849 0.169 0.680
8 Pt 0.332 0.332 0.000
9 Pt 0.668 0.668 0.000